# 1
Li2PmBi: relaxed, PBE.

Properties
* volume: 102.4 Å³ per cell
* formation energy: -42.6 kJ/mol of atoms
* VASP energy: -3.56 eV/atom
* energy above the most stable polymorph in this dataset: 0.0000 eV/atom

a b c (Å): 4.548 4.548 4.951
angles (deg): 90.00 90.00 90.00
Positions (direct):
Li (0.000, 0.500, 0.000)
Li (0.500, 0.000, 0.000)
Pm (0.000, 0.000, 0.500)
Bi (0.500, 0.500, 0.500)

# 2
LiPmBi: relaxed, PBE.

Properties
* volume: 78.1 Å³ per cell
* formation energy: -63.2 kJ/mol of atoms
* VASP energy: -4.17 eV/atom
* energy above the most stable polymorph in this dataset: 0.0238 eV/atom

a b c (Å): 4.590 4.590 4.281
angles (deg): 90.00 90.00 120.00
Positions (direct):
Li (0.000, 0.000, 0.000)
Pm (0.667, 0.333, 0.500)
Bi (0.333, 0.667, 0.000)

# 3
LiPm4Bi2: relaxed, PBE.

Properties
* volume: 215.5 Å³ per cell
* formation energy: -22.3 kJ/mol of atoms
* VASP energy: -4.33 eV/atom

a b c (Å): 9.262 9.262 9.262
angles (deg): 148.56 148.56 45.06
Positions (direct):
Li (0.000, 0.000, 0.000)
Pm (0.000, 0.500, 0.500)
Pm (0.175, 0.175, 0.000)
Pm (0.500, 0.000, 0.500)
Pm (0.825, 0.825, 0.000)
Bi (0.362, 0.362, 0.000)
Bi (0.638, 0.638, 0.000)

# 4
Li2PmBi: relaxed, PBE.

Properties
* volume: 89.7 Å³ per cell
* formation energy: -30.3 kJ/mol of atoms
* VASP energy: -3.43 eV/atom
* energy above the most stable polymorph in this dataset: 0.1265 eV/atom

a b c (Å): 5.024 5.024 5.024
angles (deg): 60.00 60.00 60.00
Positions (direct):
Li (0.250, 0.250, 0.250)
Li (0.750, 0.750, 0.750)
Pm (0.000, 0.000, 0.000)
Bi (0.500, 0.500, 0.500)